Record 1
{"formula": "SrTbGd2", "functional": "PBE", "state": "relaxed", "delta_e_f_kj_per_mol_fu": 74, "sg": "P4/mmm", "polymorph_energy_mev_per_atom": 90, "lattice_angstrom": [[5.2350, 0.0000, 0.0000], [0.0000, 5.2350, 0.0000], [0.0000, 0.0000, 5.2427]], "species": ["Sr", "Tb", "Gd", "Gd"], "fractional_positions": [[0.0000, 0.0000, 0.0000], [0.5000, 0.5000, 0.0000], [0.0000, 0.5000, 0.5000], [0.5000, 0.0000, 0.5000]]}

=====

Record 2
{"formula": "FeRuPb2", "functional": "PBE", "state": "relaxed", "delta_e_f_kj_per_mol_fu": 203, "sg": "Cm", "polymorph_energy_mev_per_atom": 212, "lattice_angstrom": [[10.5652, 0.0000, 0.0000], [0.0000, 3.2364, 0.0000], [-1.7058, 0.0000, 4.7845]], "species": ["Fe", "Fe", "Ru", "Ru", "Pb", "Pb", "Pb", "Pb"], "fractional_positions": [[0.0000, 0.0000, 0.0000], [0.5000, 0.5000, 0.0000], [0.3285, 0.0000, 0.7217], [0.8285, 0.5000, 0.7217], [0.0637, 0.5000, 0.5487], [0.2714, 0.5000, 0.1860], [0.5637, 0.0000, 0.5487], [0.7714, 0.0000, 0.1860]]}

=====

Record 3
{"formula": "La3AsPO", "functional": "PBE", "state": "relaxed", "formation_energy_uncorrected_ev_per_atom": -1.995, "sg": "P2_1/m", "lattice_angstrom": [[8.7389, 0.0000, 0.0000], [0.0000, 4.1901, 0.0000], [-1.6813, 0.0000, 8.9971]], "species": ["La", "La", "La", "La", "La", "La", "As", "As", "P", "P", "O", "O"], "fractional_positions": [[0.0862, 0.2500, 0.3342], [0.3213, 0.2500, 0.9862], [0.3942, 0.7500, 0.6464], [0.6058, 0.2500, 0.3536], [0.6787, 0.7500, 0.0138], [0.9138, 0.7500, 0.6658], [0.3325, 0.7500, 0.2846], [0.6675, 0.2500, 0.7154], [0.1545, 0.2500, 0.6591], [0.8455, 0.7500, 0.3409], [0.4114, 0.7500, 0.9107], [0.5886, 0.2500, 0.0893]]}

=====

Record 4
{"formula": "UTl2Cl6", "functional": "PBE", "state": "relaxed", "formation_energy_uncorrected_ev_per_atom": -1.460, "sg": "P2_1/c", "polymorph_energy_mev_per_atom": 0, "lattice_angstrom": [[7.4325, 0.0000, 0.0000], [0.0000, 8.2804, 0.0000], [-6.6611, 0.0000, 10.3570]], "species": ["U", "U", "Tl", "Tl", "Tl", "Tl", "Cl", "Cl", "Cl", "Cl", "Cl", "Cl", "Cl", "Cl", "Cl", "Cl", "Cl", "Cl"], "fractional_positions": [[0.0000, 0.0000, 0.0000], [0.0000, 0.5000, 0.5000], [0.2876, 0.0874, 0.7565], [0.2876, 0.4126, 0.2565], [0.7124, 0.5874, 0.7435], [0.7124, 0.9126, 0.2435], [0.1220, 0.0428, 0.2424], [0.1220, 0.4572, 0.7424], [0.2226, 0.7318, 0.0619], [0.2226, 0.7682, 0.5619], [0.3374, 0.1647, 0.0437], [0.3374, 0.3353, 0.5437], [0.6626, 0.6647, 0.4563], [0.6626, 0.8353, 0.9563], [0.7774, 0.2318, 0.4381], [0.7774, 0.2682, 0.9381], [0.8780, 0.5428, 0.2576], [0.8780, 0.9572, 0.7576]]}

=====

Record 5
{"formula": "Pr3P2Cl2", "functional": "PBE", "state": "relaxed", "formation_energy_uncorrected_ev_per_atom": -1.681, "sg": "C2/m", "lattice_angstrom": [[13.9071, 0.0000, 0.0000], [0.0000, 4.1412, 0.0000], [-1.9351, 0.0000, 7.3588]], "species": ["Pr", "Pr", "Pr", "Pr", "Pr", "Pr", "P", "P", "P", "P", "Cl", "Cl", "Cl", "Cl"], "fractional_positions": [[0.0000, 0.0000, 0.0000], [0.2291, 0.0000, 0.7706], [0.2709, 0.5000, 0.2294], [0.5000, 0.5000, 0.0000], [0.7291, 0.5000, 0.7706], [0.7709, 0.0000, 0.2294], [0.1210, 0.5000, 0.8902], [0.3790, 0.0000, 0.1098], [0.6210, 0.0000, 0.8902], [0.8790, 0.5000, 0.1098], [0.1457, 0.0000, 0.3618], [0.3543, 0.5000, 0.6382], [0.6457, 0.5000, 0.3618], [0.8543, 0.0000, 0.6382]]}

=====

Record 6
{"formula": "KCaBrF2", "functional": "PBE", "state": "relaxed", "formation_energy_uncorrected_ev_per_atom": -2.901, "sg": "P4/mmm", "lattice_angstrom": [[4.5128, 0.0000, 0.0000], [0.0000, 4.5128, 0.0000], [0.0000, 0.0000, 5.9402]], "species": ["K", "Ca", "Br", "F", "F"], "fractional_positions": [[0.0000, 0.0000, 0.0000], [0.5000, 0.5000, 0.5000], [0.5000, 0.5000, 0.0000], [0.0000, 0.5000, 0.5000], [0.5000, 0.0000, 0.5000]]}

=====

Record 7
{"formula": "Cd3CoRe", "functional": "PBE", "state": "relaxed", "delta_e_f_kj_per_mol_fu": 682, "sg": "Pm-3m", "polymorph_energy_mev_per_atom": 0, "lattice_angstrom": [[4.8260, 0.0000, 0.0000], [0.0000, 4.8260, 0.0000], [0.0000, 0.0000, 4.8260]], "species": ["Cd", "Cd", "Cd", "Co", "Re"], "fractional_positions": [[0.0000, 0.0000, 0.5000], [0.0000, 0.5000, 0.0000], [0.5000, 0.0000, 0.0000], [0.0000, 0.0000, 0.0000], [0.5000, 0.5000, 0.5000]]}

=====

Record 8
{"formula": "CuNi2Os", "functional": "PBE", "state": "relaxed", "delta_e_f_kj_per_mol_fu": 50, "sg": "P2/m", "polymorph_energy_mev_per_atom": 38, "lattice_angstrom": [[2.5819, 0.0000, 0.0000], [0.0000, 3.6587, 0.0000], [-0.0086, 0.0000, 5.1214]], "species": ["Cu", "Ni", "Ni", "Os"], "fractional_positions": [[0.0000, 0.0000, 0.0000], [0.4982, 0.5000, 0.2553], [0.5018, 0.5000, 0.7447], [0.0000, 0.0000, 0.5000]]}

=====

Record 9
{"formula": "RbZrOs3", "functional": "PBE", "state": "relaxed", "delta_e_f_kj_per_mol_fu": 1099, "sg": "Pm-3m", "polymorph_energy_mev_per_atom": 0, "lattice_angstrom": [[5.0577, 0.0000, 0.0000], [0.0000, 5.0577, 0.0000], [0.0000, 0.0000, 5.0577]], "species": ["Rb", "Zr", "Os", "Os", "Os"], "fractional_positions": [[0.0000, 0.0000, 0.0000], [0.5000, 0.5000, 0.5000], [0.0000, 0.5000, 0.5000], [0.5000, 0.0000, 0.5000], [0.5000, 0.5000, 0.0000]]}

=====

Record 10
{"formula": "YCuNi4", "functional": "PBE", "state": "relaxed", "delta_e_f_kj_per_mol_fu": -155, "sg": "F-43m", "polymorph_energy_mev_per_atom": 0, "lattice_angstrom": [[0.0000, 3.4416, 3.4416], [3.4416, 0.0000, 3.4416], [3.4416, 3.4416, 0.0000]], "species": ["Y", "Cu", "Ni", "Ni", "Ni", "Ni"], "fractional_positions": [[0.0000, 0.0000, 0.0000], [0.2500, 0.2500, 0.2500], [0.1281, 0.6240, 0.6240], [0.6240, 0.1281, 0.6240], [0.6240, 0.6240, 0.1281], [0.6240, 0.6240, 0.6240]]}

=====

Record 11
{"formula": "MnCd2As", "functional": "PBE", "state": "relaxed", "delta_e_f_kj_per_mol_fu": 112, "sg": "R-3m", "lattice_angstrom": [[3.0940, 0.0000, 0.0000], [-1.5470, 2.6795, 0.0000], [0.0000, 0.0000, 28.5208]], "species": ["Mn", "Mn", "Mn", "Cd", "Cd", "Cd", "Cd", "Cd", "Cd", "As", "As", "As"], "fractional_positions": [[0.0000, 0.0000, 0.0000], [0.3333, 0.6667, 0.6667], [0.6667, 0.3333, 0.3333], [0.0000, 0.0000, 0.2534], [0.0000, 0.0000, 0.7466], [0.3333, 0.6667, 0.4133], [0.3333, 0.6667, 0.9201], [0.6667, 0.3333, 0.0799], [0.6667, 0.3333, 0.5867], [0.0000, 0.0000, 0.5000], [0.3333, 0.6667, 0.1667], [0.6667, 0.3333, 0.8333]]}

=====

Record 12
{"formula": "Tm2ThAgC", "functional": "PBE", "state": "relaxed", "delta_e_f_kj_per_mol_fu": -98, "sg": "P4/mmm", "lattice_angstrom": [[4.8067, 0.0000, 0.0000], [0.0000, 4.8067, 0.0000], [0.0000, 0.0000, 5.0819]], "species": ["Tm", "Tm", "Th", "Ag", "C"], "fractional_positions": [[0.0000, 0.5000, 0.0000], [0.5000, 0.0000, 0.0000], [0.0000, 0.0000, 0.5000], [0.5000, 0.5000, 0.5000], [0.0000, 0.0000, 0.0000]]}

=====

Record 13
{"formula": "Tl4InCl5", "functional": "PBE", "state": "relaxed", "formation_energy_uncorrected_ev_per_atom": -0.971, "sg": "I4", "lattice_angstrom": [[-5.1288, 5.1288, 3.2536], [5.1288, -5.1288, 3.2536], [5.1288, 5.1288, -3.2536]], "species": ["Tl", "Tl", "Tl", "Tl", "In", "Cl", "Cl", "Cl", "Cl", "Cl"], "fractional_positions": [[0.0997, 0.3000, 0.3997], [0.3000, 0.9003, 0.2003], [0.7000, 0.0997, 0.7997], [0.9003, 0.7000, 0.6003], [0.5038, 0.5038, 0.0000], [0.0417, 0.0417, 0.0000], [0.1983, 0.5965, 0.8003], [0.3981, 0.1983, 0.6019], [0.5965, 0.7962, 0.3981], [0.7962, 0.3981, 0.1997]]}

=====

Record 14
{"formula": "SrInAs2O8", "functional": "PBE", "state": "relaxed", "formation_energy_uncorrected_ev_per_atom": -1.505, "sg": "P-3", "lattice_angstrom": [[5.3956, 0.0000, 0.0000], [-2.6978, 4.6728, 0.0000], [0.0000, 0.0000, 7.3878]], "species": ["Sr", "In", "As", "As", "O", "O", "O", "O", "O", "O", "O", "O"], "fractional_positions": [[0.0000, 0.0000, 0.0000], [0.0000, 0.0000, 0.5000], [0.3333, 0.6667, 0.7516], [0.6667, 0.3333, 0.2484], [0.0720, 0.3272, 0.6949], [0.2552, 0.9280, 0.6949], [0.3272, 0.2552, 0.3051], [0.3333, 0.6667, 0.9867], [0.6667, 0.3333, 0.0133], [0.6728, 0.7448, 0.6949], [0.7448, 0.0720, 0.3051], [0.9280, 0.6728, 0.3051]]}

=====

Record 15
{"formula": "MnFeIr", "functional": "PBE", "state": "relaxed", "delta_e_f_kj_per_mol_fu": -15, "sg": "P-6m2", "polymorph_energy_mev_per_atom": 42, "lattice_angstrom": [[4.0705, 0.0000, 0.0000], [-2.0352, 3.5251, 0.0000], [0.0000, 0.0000, 2.6292]], "species": ["Mn", "Fe", "Ir"], "fractional_positions": [[0.0000, 0.0000, 0.0000], [0.6667, 0.3333, 0.0000], [0.3333, 0.6667, 0.5000]]}

=====

Record 16
{"formula": "LiGaRePdRu", "functional": "PBE", "state": "relaxed", "delta_e_f_kj_per_mol_fu": -24, "sg": "Amm2", "polymorph_energy_mev_per_atom": 102, "lattice_angstrom": [[4.2396, 0.0000, 0.0000], [0.0000, 2.7283, 0.0000], [0.0000, 0.0000, 13.8509]], "species": ["Li", "Li", "Ga", "Ga", "Re", "Re", "Pd", "Pd", "Ru", "Ru"], "fractional_positions": [[0.0000, 0.0000, 0.0000], [0.0000, 0.5000, 0.5000], [0.5000, 0.0000, 0.1874], [0.5000, 0.5000, 0.6874], [0.5000, 0.0000, 0.8633], [0.5000, 0.5000, 0.3633], [0.5000, 0.0000, 0.5301], [0.5000, 0.5000, 0.0301], [0.0000, 0.0000, 0.3084], [0.0000, 0.5000, 0.8084]]}

=====

Record 17
{"formula": "RbBe3Cr", "functional": "PBE", "state": "relaxed", "delta_e_f_kj_per_mol_fu": 594, "sg": "Pm-3m", "polymorph_energy_mev_per_atom": 0, "lattice_angstrom": [[4.7455, 0.0000, 0.0000], [0.0000, 4.7455, 0.0000], [0.0000, 0.0000, 4.7455]], "species": ["Rb", "Be", "Be", "Be", "Cr"], "fractional_positions": [[0.0000, 0.0000, 0.0000], [0.0000, 0.5000, 0.5000], [0.5000, 0.0000, 0.5000], [0.5000, 0.5000, 0.0000], [0.5000, 0.5000, 0.5000]]}

=====

Record 18
{"formula": "Re2BiRuS", "functional": "PBE", "state": "relaxed", "formation_energy_uncorrected_ev_per_atom": 0.912, "sg": "P4/mmm", "lattice_angstrom": [[4.4880, 0.0000, 0.0000], [0.0000, 4.4880, 0.0000], [0.0000, 0.0000, 4.4541]], "species": ["Re", "Re", "Bi", "Ru", "S"], "fractional_positions": [[0.0000, 0.5000, 0.0000], [0.5000, 0.0000, 0.0000], [0.0000, 0.0000, 0.5000], [0.5000, 0.5000, 0.5000], [0.5000, 0.5000, 0.0000]]}

=====

Record 19
{"formula": "Cs3CdRu", "functional": "PBE", "state": "relaxed", "delta_e_f_kj_per_mol_fu": 389, "sg": "Pm-3m", "lattice_angstrom": [[6.1354, 0.0000, 0.0000], [0.0000, 6.1354, 0.0000], [0.0000, 0.0000, 6.1354]], "species": ["Cs", "Cs", "Cs", "Cd", "Ru"], "fractional_positions": [[0.0000, 0.0000, 0.5000], [0.0000, 0.5000, 0.0000], [0.5000, 0.0000, 0.0000], [0.5000, 0.5000, 0.5000], [0.0000, 0.0000, 0.0000]]}

=====

Record 20
{"formula": "ErAl2Ag2", "functional": "PBE", "state": "relaxed", "delta_e_f_kj_per_mol_fu": -140, "sg": "P4/nmm", "polymorph_energy_mev_per_atom": 0, "lattice_angstrom": [[4.2252, 0.0000, 0.0000], [0.0000, 4.2252, 0.0000], [0.0000, 0.0000, 11.1629]], "species": ["Er", "Er", "Al", "Al", "Al", "Al", "Ag", "Ag", "Ag", "Ag"], "fractional_positions": [[0.2500, 0.2500, 0.2479], [0.7500, 0.7500, 0.7521], [0.2500, 0.2500, 0.6382], [0.2500, 0.7500, 0.0000], [0.7500, 0.2500, 0.0000], [0.7500, 0.7500, 0.3618], [0.2500, 0.2500, 0.8613], [0.2500, 0.7500, 0.5000], [0.7500, 0.2500, 0.5000], [0.7500, 0.7500, 0.1387]]}

=====

| no. | spin magnetization (μB/f.u.) | volume (Å³/atom) | E (eV/atom) |
| --- | --- | --- | --- |
| 1 | 15.7 | 35.9 | -8.427 |
| 2 | 3.7 | 20.4 | -5.763 |
| 3 | 0.0 | 27.5 | -6.962 |
| 4 | 2.0 | 35.4 | -4.471 |
| 5 | 0.0 | 30.3 | -5.803 |
| 6 | 0.0 | 24.2 | -4.604 |
| 7 | 4.7 | 22.5 | -3.047 |
| 8 | 0.0 | 12.1 | -6.593 |
| 9 | 4.4 | 25.9 | -6.363 |
| 10 | 0.6 | 13.6 | -5.882 |
| 11 | 3.8 | 19.7 | -3.622 |
| 12 | 0.0 | 23.5 | -5.891 |
| 13 | 0.0 | 34.2 | -3.114 |
| 14 | 1.1 | 15.5 | -5.954 |
| 15 | 0.2 | 12.6 | -8.882 |
| 16 | 0.0 | 16.0 | -6.421 |
| 17 | 4.5 | 21.4 | -3.123 |
| 18 | 0.7 | 17.9 | -7.524 |
| 19 | 0.0 | 46.2 | -1.745 |
| 20 | 0.0 | 19.9 | -3.841 |